Record 1
First-principles (GGA-PBE) data for NiHgMo after structural relaxation, as listed in the Alexandria database.

a = 2.8615 Å, b = 2.8615 Å, c = 6.8293 Å
α = 90.00°, β = 90.00°, γ = 120.00°
Space group P3m1 (No. 156)
Asymmetric unit:
Ni1 0.0000 0.0000 0.0000 [1 per cell]
Hg1 0.6667 0.3333 0.3356 [1 per cell]
Mo1 0.3333 0.6667 0.7139 [1 per cell]

Results
Energy of formation: 411.0 meV/atom

---

Record 2
First-principles (GGA-PBE) data for BeCo2Se after structural relaxation, as listed in the Alexandria database.

a = 7.3927 Å, b = 2.8717 Å, c = 4.3768 Å
α = 90.00°, β = 100.18°, γ = 90.00°
Space group C2/m (No. 12)
Asymmetric unit:
Be1 0.0000 0.0000 0.0000 [2 per cell]
Co1 0.2494 0.0000 0.7629 [4 per cell]
Se1 0.0000 0.5000 0.5000 [2 per cell]

Results
Formation energy (no corrections): 13 kJ per mole of atoms

---

Record 3
First-principles (GGA-PBE) data for Ho2MoRu3 after structural relaxation, as listed in the Alexandria database.

a = 5.5397 Å, b = 5.5397 Å, c = 8.2147 Å
α = 90.00°, β = 90.00°, γ = 120.00°
Space group P6_3/mmc (No. 194)
Asymmetric unit:
Ho1 0.3333 0.6667 0.0618 [4 per cell]
Mo1 0.0000 0.0000 0.0000 [2 per cell]
Ru1 0.1718 0.3436 0.7500 [6 per cell]

Results
Energy of formation: -306.7 meV/atom

---

Record 4
First-principles (GGA-PBE) data for Y2MgIr after structural relaxation, as listed in the Alexandria database.

a = 3.4211 Å, b = 4.9600 Å, c = 11.5181 Å
α = 90.00°, β = 90.00°, γ = 90.00°
Space group Imm2 (No. 44)
Asymmetric unit:
Y1 0.0000 0.0000 0.0000 [2 per cell]
Y2 0.0000 0.5000 0.2018 [2 per cell]
Mg1 0.0000 0.0000 0.3853 [2 per cell]
Ir1 0.0000 0.5000 0.6968 [2 per cell]

Results
Energy of formation: -395.8 meV/atom

---

Record 5
First-principles (GGA-PBE) data for RbPaGa2O6 after structural relaxation, as listed in the Alexandria database.

a = 5.8960 Å, b = 5.8960 Å, c = 18.3365 Å
α = 90.00°, β = 90.00°, γ = 120.00°
Space group R-3 (No. 148, hexagonal axes)
Asymmetric unit:
Rb1 0.0000 0.0000 0.0000 [3 per cell]
Pa1 0.0000 0.0000 0.5000 [3 per cell]
Ga1 0.0000 0.0000 0.2322 [6 per cell]
O1 0.0011 0.5976 0.9013 [18 per cell]

Results
Formation energy (no corrections): -224 kJ per mole of atoms

---

Record 6
First-principles (GGA-PBE) data for U2GeIr after structural relaxation, as listed in the Alexandria database.

a = 2.9490 Å, b = 2.9490 Å, c = 31.3202 Å
α = 90.00°, β = 90.00°, γ = 120.00°
Space group R-3m (No. 166, hexagonal axes)
Asymmetric unit:
U1 0.0000 0.0000 0.0847 [6 per cell]
Ge1 0.0000 0.0000 0.5000 [3 per cell]
Ir1 0.0000 0.0000 0.0000 [3 per cell]

Results
Energy of formation: 167.0 meV/atom

---

Record 7
First-principles (GGA-PBE) data for ZrVFe2Co after structural relaxation, as listed in the Alexandria database.

a = 4.1449 Å, b = 4.1449 Å, c = 4.8604 Å
α = 90.00°, β = 90.00°, γ = 90.00°
Space group P4/mmm (No. 123)
Asymmetric unit:
Zr1 0.0000 0.0000 0.0000 [1 per cell]
V1 0.0000 0.0000 0.5000 [1 per cell]
Fe1 0.0000 0.5000 0.5000 [2 per cell]
Co1 0.5000 0.5000 0.0000 [1 per cell]

Results
Energy of formation: 1114.7 meV/atom

---

Record 8
First-principles (GGA-PBE) data for Cd2SiNi after structural relaxation, as listed in the Alexandria database.

a = 2.8338 Å, b = 4.5129 Å, c = 11.4755 Å
α = 90.00°, β = 90.00°, γ = 90.00°
Space group Imm2 (No. 44)
Asymmetric unit:
Cd1 0.0000 0.0000 0.0000 [2 per cell]
Cd2 0.0000 0.5000 0.1922 [2 per cell]
Si1 0.0000 0.0000 0.3741 [2 per cell]
Ni1 0.0000 0.5000 0.7155 [2 per cell]

Results
Formation energy (no corrections): 6 kJ per mole of atoms

---

Record 9
First-principles (GGA-PBE) data for CoAs2Rh after structural relaxation, as listed in the Alexandria database.

a = 3.3918 Å, b = 3.3918 Å, c = 5.0612 Å
α = 90.00°, β = 90.00°, γ = 90.00°
Space group P4mm (No. 99)
Asymmetric unit:
Co1 0.0000 0.0000 0.0000 [1 per cell]
As1 0.0000 0.0000 0.5004 [1 per cell]
As2 0.5000 0.5000 0.8693 [1 per cell]
Rh1 0.5000 0.5000 0.3484 [1 per cell]

Results
Energy of formation: -222.7 meV/atom

---

Record 10
First-principles (GGA-PBE) data for CoIr4 after structural relaxation, as listed in the Alexandria database.

a = 3.5955 Å, b = 3.5955 Å, c = 12.4853 Å
α = 90.00°, β = 90.00°, γ = 90.00°
Space group I4/mmm (No. 139)
Asymmetric unit:
Co1 0.0000 0.0000 0.0000 [2 per cell]
Ir1 0.0000 0.0000 0.4027 [4 per cell]
Ir2 0.0000 0.5000 0.2500 [4 per cell]

Results
Energy of formation: 616.2 meV/atom

---

Record 11
First-principles (GGA-PBE) data for CsBaClO after structural relaxation, as listed in the Alexandria database.

a = 4.0979 Å, b = 4.0979 Å, c = 24.8784 Å
α = 90.00°, β = 90.00°, γ = 120.00°
Space group R3m (No. 160, hexagonal axes)
Asymmetric unit:
Cs1 0.0000 0.0000 0.0000 [3 per cell]
Ba1 0.0000 0.0000 0.1402 [3 per cell]
Cl1 0.0000 0.0000 0.5684 [3 per cell]
O1 0.0000 0.0000 0.4274 [3 per cell]

Results
Formation energy (no corrections): -195 kJ per mole of atoms

---

Record 12
First-principles (GGA-PBE) data for ZnAg2P after structural relaxation, as listed in the Alexandria database.

a = 4.0310 Å, b = 4.0310 Å, c = 4.0797 Å
α = 90.00°, β = 90.00°, γ = 90.00°
Space group P4/mmm (No. 123)
Asymmetric unit:
Zn1 0.0000 0.0000 0.0000 [1 per cell]
Ag1 0.0000 0.5000 0.5000 [2 per cell]
P1 0.5000 0.5000 0.0000 [1 per cell]

Results
Energy of formation: 163.3 meV/atom

---

How do the records compare in DOS at the Fermi energy? In the order shown, they have 3.5 7.3 15.1 6.6 0.0 28.3 7.0 3.2 0.8 16.8 0.0 1.3 states/eV per cell.